VASP calculation (PBE) on a geometry-optimized CsLiOsF6 structure.

Summary:
Formation energy (no corrections), meV/atom: -2255.7

Lattice parameters (Å, degrees): 5.456 5.456 6.554 90.00 90.00 120.00
Positions (direct):
Cs 0.000 0.000 0.000
Li 0.333 0.667 0.500
Os 0.667 0.333 0.500
F 0.379 0.016 0.666
F 0.379 0.363 0.334
F 0.637 0.016 0.334
F 0.637 0.621 0.666
F 0.984 0.363 0.666
F 0.984 0.621 0.334

---

VASP calculation (PBE) on a geometry-optimized Re12Mo5Os3 structure.

Summary:
Uncorrected energy, eV per formula unit: -210.9

Lattice parameters (Å, degrees): 12.718 12.718 12.718 109.47 109.47 109.47
Positions (direct):
Re 0.070 0.232 0.148
Re 0.070 0.338 0.921
Re 0.079 0.648 0.417
Re 0.079 0.930 0.662
Re 0.083 0.732 0.662
Re 0.083 0.852 0.421
Re 0.148 0.070 0.232
Re 0.148 0.579 0.917
Re 0.162 0.232 0.583
Re 0.162 0.430 0.579
Re 0.232 0.148 0.070
Re 0.232 0.583 0.162
Re 0.268 0.338 0.917
Re 0.268 0.430 0.352
Re 0.338 0.917 0.268
Re 0.338 0.921 0.070
Re 0.352 0.268 0.430
Re 0.352 0.583 0.921
Re 0.417 0.079 0.648
Re 0.417 0.838 0.768
Re 0.421 0.083 0.852
Re 0.421 0.838 0.570
Re 0.430 0.352 0.268
Re 0.430 0.579 0.162
Re 0.570 0.421 0.838
Re 0.570 0.648 0.732
Re 0.579 0.162 0.430
Re 0.579 0.917 0.148
Re 0.583 0.162 0.232
Re 0.583 0.921 0.352
Re 0.648 0.417 0.079
Re 0.648 0.732 0.570
Re 0.662 0.079 0.930
Re 0.662 0.083 0.732
Re 0.732 0.570 0.648
Re 0.732 0.662 0.083
Re 0.768 0.417 0.838
Re 0.768 0.852 0.930
Re 0.838 0.570 0.421
Re 0.838 0.768 0.417
Re 0.852 0.421 0.083
Re 0.852 0.930 0.768
Re 0.917 0.148 0.579
Re 0.917 0.268 0.338
Re 0.921 0.070 0.338
Re 0.921 0.352 0.583
Re 0.930 0.662 0.079
Re 0.930 0.768 0.852
Mo 0.000 0.000 0.000
Mo 0.000 0.000 0.500
Mo 0.000 0.500 0.000
Mo 0.000 0.500 0.500
Mo 0.125 0.750 0.875
Mo 0.125 0.875 0.250
Mo 0.250 0.125 0.875
Mo 0.250 0.625 0.375
Mo 0.375 0.250 0.625
Mo 0.375 0.625 0.750
Mo 0.500 0.000 0.000
Mo 0.500 0.000 0.500
Mo 0.500 0.500 0.000
Mo 0.500 0.500 0.500
Mo 0.625 0.375 0.250
Mo 0.625 0.750 0.375
Mo 0.750 0.375 0.625
Mo 0.750 0.875 0.125
Mo 0.875 0.125 0.750
Mo 0.875 0.250 0.125
Os 0.125 0.250 0.375
Os 0.125 0.375 0.750
Os 0.250 0.375 0.125
Os 0.250 0.875 0.625
Os 0.375 0.125 0.250
Os 0.375 0.750 0.125
Os 0.625 0.250 0.875
Os 0.625 0.875 0.750
Os 0.750 0.125 0.375
Os 0.750 0.625 0.875
Os 0.875 0.625 0.250
Os 0.875 0.750 0.625